Computed, not measured: an optimized crystal structure of Er6NpO12 at the PBE-GGA level of DFT.

Calculated values
energy relative to the elements, uncorrected = -66.922 eV per formula unit

abc: 9.8911 9.8911 9.3444
angles: 90.00 90.00 120.00
Space group R-3 (No. 148, hexagonal axes)
Asymmetric unit:
Er 0.0368 0.7860 0.1405
Np 0.0000 0.0000 0.5000
O 0.0298 0.8099 0.8977
O 0.0339 0.8390 0.3854